# 1
Computed, not measured: crystalline CdOs2Au at its relaxed geometry at the PBE-GGA level of DFT.

Lattice parameters (Å, degrees): 2.797 2.797 9.952 90.00 90.00 119.33
Positions (direct):
Os  0.000  0.000  0.018
Os  0.500  0.500  0.233
Au  0.000  0.000  0.490
Cd  0.500  0.500  0.759

=====

# 2
Computed, not measured: crystalline Cd2OsAu at its relaxed geometry at the PBE-GGA level of DFT.

Lattice parameters (Å, degrees): 4.247 2.828 6.620 64.77 90.00 90.00
Positions (direct):
Os  0.500  0.250  0.250
Au  0.500  0.750  0.750
Cd  0.000  0.991  0.009
Cd  0.000  0.509  0.491

=====

# 3
Computed, not measured: crystalline CdOsAu4 at its relaxed geometry at the PBE-GGA level of DFT.

Lattice parameters (Å, degrees): 5.447 5.447 5.447 60.00 60.00 60.00
Positions (direct):
Cd  0.750  0.750  0.750
Os  0.000  0.000  0.000
Au  0.876  0.375  0.375
Au  0.375  0.375  0.876
Au  0.375  0.876  0.375
Au  0.375  0.375  0.375

=====

# 4
Computed, not measured: crystalline CdOs2Au at its relaxed geometry at the PBE-GGA level of DFT.

Lattice parameters (Å, degrees): 5.804 5.804 5.804 151.97 130.80 57.58
Positions (direct):
Os  0.976  0.976  0.000
Os  0.773  0.273  0.500
Au  0.516  0.516  0.000
Cd  0.235  0.735  0.500

=====

# 5
Computed, not measured: crystalline CdOs3Au at its relaxed geometry at the PBE-GGA level of DFT.

Lattice parameters (Å, degrees): 4.895 4.895 4.895 90.00 90.00 90.00
Positions (direct):
Os  0.000  0.500  0.000
Os  0.000  0.000  0.500
Os  0.500  0.000  0.000
Au  0.000  0.000  0.000
Cd  0.500  0.500  0.500

=====

# 6
Computed, not measured: crystalline Cd2OsAu at its relaxed geometry at the PBE-GGA level of DFT.

Lattice parameters (Å, degrees): 5.597 5.597 5.121 65.41 65.41 29.98
Positions (direct):
Os  0.507  0.507  0.583
Au  0.237  0.237  0.178
Cd  0.994  0.994  0.078
Cd  0.762  0.762  0.661

=====

# 7
Computed, not measured: crystalline Cd2OsAu at its relaxed geometry at the PBE-GGA level of DFT.

Lattice parameters (Å, degrees): 2.896 2.896 8.611 90.00 90.00 90.00
Positions (direct):
Os  0.500  0.500  0.250
Au  0.500  0.500  0.750
Cd  0.000  0.000  0.010
Cd  0.000  0.000  0.490

=====

# 8
Computed, not measured: crystalline CdOs4Au at its relaxed geometry at the PBE-GGA level of DFT.

Lattice parameters (Å, degrees): 5.234 5.234 5.234 60.00 60.00 60.00
Positions (direct):
Cd  0.000  0.000  0.000
Os  0.874  0.375  0.375
Os  0.375  0.375  0.874
Os  0.375  0.874  0.375
Os  0.375  0.375  0.375
Au  0.750  0.750  0.750

=====

# 9
Computed, not measured: crystalline Cd2OsAu at its relaxed geometry at the PBE-GGA level of DFT.

Lattice parameters (Å, degrees): 4.035 4.035 10.143 78.53 78.53 90.00
Positions (direct):
Os  0.500  0.500  0.000
Os  0.250  0.750  0.500
Au  0.000  0.000  0.000
Au  0.750  0.250  0.500
Cd  0.617  0.125  0.250
Cd  0.133  0.625  0.250
Cd  0.375  0.383  0.750
Cd  0.875  0.867  0.750

=====

# 10
Computed, not measured: crystalline CdOs2Au at its relaxed geometry at the PBE-GGA level of DFT.

Lattice parameters (Å, degrees): 9.631 9.631 9.631 16.81 16.81 16.81
Positions (direct):
Os  0.999  0.999  0.999
Os  0.501  0.501  0.501
Au  0.250  0.250  0.250
Cd  0.750  0.750  0.750

=====

# 11
Computed, not measured: crystalline Cd2OsAu at its relaxed geometry at the PBE-GGA level of DFT.

Lattice parameters (Å, degrees): 4.673 4.673 4.673 60.00 60.00 60.00
Positions (direct):
Os  0.750  0.750  0.750
Au  0.500  0.500  0.500
Cd  0.000  0.000  0.000
Cd  0.250  0.250  0.250

=====

# 12
Computed, not measured: crystalline CdOs2Au at its relaxed geometry at the PBE-GGA level of DFT.

Lattice parameters (Å, degrees): 2.784 2.784 8.519 90.00 90.00 90.00
Positions (direct):
Os  0.000  0.000  0.010
Os  0.000  0.000  0.490
Au  0.500  0.500  0.250
Cd  0.500  0.500  0.750

=====

# 13
Computed, not measured: crystalline Cd2OsAu at its relaxed geometry at the PBE-GGA level of DFT.

Lattice parameters (Å, degrees): 5.598 5.598 5.598 148.18 128.17 62.12
Positions (direct):
Os  0.250  0.750  0.500
Au  0.750  0.250  0.500
Cd  0.002  0.002  0.000
Cd  0.498  0.498  0.000

=====

# 14
Computed, not measured: crystalline Cd2OsAu at its relaxed geometry at the PBE-GGA level of DFT.

Lattice parameters (Å, degrees): 5.112 5.112 5.112 131.90 131.90 70.38
Positions (direct):
Os  0.500  0.500  0.000
Au  0.750  0.250  0.500
Cd  0.000  0.000  0.000
Cd  0.250  0.750  0.500

=====

# 15
Computed, not measured: crystalline CdOs2Au at its relaxed geometry at the PBE-GGA level of DFT.

Lattice parameters (Å, degrees): 2.760 4.811 5.014 90.00 90.00 90.00
Positions (direct):
Os  0.000  0.000  0.000
Os  0.500  0.500  0.000
Au  0.500  0.000  0.500
Cd  0.000  0.500  0.500

=====

# 16
Computed, not measured: crystalline CdOs2Au at its relaxed geometry at the PBE-GGA level of DFT.

Lattice parameters (Å, degrees): 5.046 5.046 4.863 80.41 80.41 32.38
Positions (direct):
Os  0.003  0.003  0.006
Os  0.497  0.497  0.494
Au  0.750  0.750  0.750
Cd  0.250  0.250  0.250

=====

# 17
Computed, not measured: crystalline CdOsAu3 at its relaxed geometry at the PBE-GGA level of DFT.

Lattice parameters (Å, degrees): 5.071 5.071 5.071 90.00 90.00 90.00
Positions (direct):
Os  0.000  0.000  0.000
Au  0.000  0.500  0.000
Au  0.000  0.000  0.500
Au  0.500  0.000  0.000
Cd  0.500  0.500  0.500

=====

# 18
Computed, not measured: crystalline CdOs2Au at its relaxed geometry at the PBE-GGA level of DFT.

Lattice parameters (Å, degrees): 5.192 5.192 5.192 136.19 136.19 63.68
Positions (direct):
Os  0.000  0.000  0.000
Os  0.500  0.500  0.000
Au  0.250  0.750  0.500
Cd  0.750  0.250  0.500

=====

# 19
Computed, not measured: crystalline CdOs2Au at its relaxed geometry at the PBE-GGA level of DFT.

Lattice parameters (Å, degrees): 4.416 3.868 3.868 90.00 90.00 90.00
Positions (direct):
Os  0.000  0.000  0.000
Os  0.000  0.500  0.500
Au  0.500  0.500  0.000
Cd  0.500  0.000  0.500

=====

# 20
Computed, not measured: crystalline CdOs2Au at its relaxed geometry at the PBE-GGA level of DFT.

Lattice parameters (Å, degrees): 4.797 4.797 5.134 81.88 81.88 34.51
Positions (direct):
Os  0.007  0.007  0.954
Os  0.745  0.745  0.792
Au  0.497  0.497  0.486
Cd  0.251  0.251  0.268

=====

Number 1: energy -6.129 eV per atom, energy relative to the elements 0.53 eV/atom, total moment 0.6 μB/f.u.. Number 2: energy -3.692 eV per atom, energy relative to the elements 0.39 eV/atom, total moment 0.0 μB/f.u.. Number 3: energy -3.543 eV per atom, energy relative to the elements 0.67 eV/atom, total moment 1.8 μB/f.u.. Number 4: energy -6.008 eV per atom, energy relative to the elements 0.66 eV/atom, total moment 0.0 μB/f.u.. Number 5: energy -4.807 eV per atom, energy relative to the elements 2.77 eV/atom, total moment 6.0 μB/f.u.. Number 6: energy -3.700 eV per atom, energy relative to the elements 0.38 eV/atom, total moment 0.6 μB/f.u.. Number 7: energy -3.721 eV per atom, energy relative to the elements 0.36 eV/atom, total moment 0.9 μB/f.u.. Number 8: energy -7.322 eV per atom, energy relative to the elements 0.86 eV/atom, total moment 0.0 μB/f.u.. Number 9: energy -3.349 eV per atom, energy relative to the elements 0.74 eV/atom, total moment 0.7 μB/f.u.. Number 10: energy -6.003 eV per atom, energy relative to the elements 0.66 eV/atom, total moment 0.0 μB/f.u.. Number 11: energy -3.527 eV per atom, energy relative to the elements 0.56 eV/atom, total moment 0.0 μB/f.u.. Number 12: energy -5.796 eV per atom, energy relative to the elements 0.87 eV/atom, total moment 0.0 μB/f.u.. Number 13: energy -3.608 eV per atom, energy relative to the elements 0.48 eV/atom, total moment 0.5 μB/f.u.. Number 14: energy -3.555 eV per atom, energy relative to the elements 0.53 eV/atom, total moment 0.8 μB/f.u.. Number 15: energy -5.980 eV per atom, energy relative to the elements 0.68 eV/atom, total moment 0.2 μB/f.u.. Number 16: energy -6.016 eV per atom, energy relative to the elements 0.65 eV/atom, total moment 0.0 μB/f.u.. Number 17: energy -3.305 eV per atom, energy relative to the elements 1.09 eV/atom, total moment 2.2 μB/f.u.. Number 18: energy -5.817 eV per atom, energy relative to the elements 0.85 eV/atom, total moment 0.0 μB/f.u.. Number 19: energy -5.854 eV per atom, energy relative to the elements 0.81 eV/atom, total moment 0.0 μB/f.u.. Number 20: energy -6.126 eV per atom, energy relative to the elements 0.54 eV/atom, total moment 0.0 μB/f.u..